The following is a DFT calculation (GGA-PBEsol) of a relaxed Tm2Ni12P7 crystal.

Computed properties:
- crystal system = hexagonal
- final energy (eV per atom) = -6.77
- energy of formation from the pure elements (eV/atom) = -0.85

Cell lengths 3.6170, 8.9087, 8.9087 Å; angles 120.00, 90.00, 90.00 degrees
Sites, in units of the cell vectors:
Tm  0.5000  0.3333  0.6667
Tm  0.0000  0.6667  0.3333
Ni  0.0000  0.5643  0.6254
Ni  0.0000  0.3746  0.9389
Ni  0.0000  0.0611  0.4357
Ni  0.0000  0.8481  0.1238
Ni  0.0000  0.8762  0.7243
Ni  0.0000  0.2757  0.1519
Ni  0.5000  0.6190  0.0501
Ni  0.5000  0.9499  0.5689
Ni  0.5000  0.4311  0.3810
Ni  0.5000  0.7838  0.8787
Ni  0.5000  0.1213  0.9051
Ni  0.5000  0.0949  0.2162
P  0.0000  0.0000  0.0000
P  0.0000  0.5930  0.8855
P  0.0000  0.1145  0.7075
P  0.0000  0.2925  0.4070
P  0.5000  0.8885  0.2951
P  0.5000  0.7049  0.5933
P  0.5000  0.4067  0.1115